i | Material: Pr3YGa2
Method: DFT, GGA-PBE
State: optimized geometry

Results
Density of states at the Fermi level   6.489 states/eV/f.u.
Calculated density   6.4 g/cm³
Total moment   0.00 μB/f.u.

a b c (Å): 5.1785 9.7596 6.7299
angles (deg): 90.00 90.00 90.00
Sites, in units of the cell vectors:
Pr: 0.0000 0.0506 0.0000
Pr: 0.0000 0.3349 0.3340
Pr: 0.0000 0.6651 0.8340
Pr: 0.0000 0.9494 0.5000
Pr: 0.5000 0.1749 0.7016
Pr: 0.5000 0.8251 0.2016
Y: 0.5000 0.4436 0.0333
Y: 0.5000 0.5564 0.5333
Ga: 0.0000 0.3520 0.8133
Ga: 0.0000 0.6480 0.3133
Ga: 0.5000 0.1510 0.2270
Ga: 0.5000 0.8490 0.7270



ii | Material: Pr3YGa2
Method: DFT, GGA-PBE
State: optimized geometry

Results
Density of states at the Fermi level   6.205 states/eV/f.u.
Calculated density   6.2 g/cm³
Total moment   0.00 μB/f.u.

a b c (Å): 9.1189 9.1189 9.4055
angles (deg): 112.78 112.78 29.15
Sites, in units of the cell vectors:
Pr: 0.0441 0.0441 0.1877
Pr: 0.3206 0.3206 0.5702
Pr: 0.3485 0.3485 0.0216
Pr: 0.6515 0.6515 0.9784
Pr: 0.6794 0.6794 0.4298
Pr: 0.9559 0.9559 0.8123
Y: 0.1160 0.1160 0.6380
Y: 0.8840 0.8840 0.3620
Ga: 0.2353 0.2353 0.2177
Ga: 0.4939 0.4939 0.3582
Ga: 0.5061 0.5061 0.6418
Ga: 0.7647 0.7647 0.7823



Result of the stability comparison: i is the most stable of them.



i | Material: PrZn3Ga3
Method: DFT, GGA-PBE
State: optimized geometry

Results
Density of states at the Fermi level   3.314 states/eV/f.u.
Calculated density   5.6 g/cm³
Total moment   0.00 μB/f.u.

a b c (Å): 6.8691 6.8691 6.8691
angles (deg): 90.00 90.00 90.00
Sites, in units of the cell vectors:
Pr: 0.0000 0.0000 0.0000
Pr: 0.5000 0.5000 0.5000
Zn: 0.0000 0.2500 0.5000
Zn: 0.0000 0.7500 0.5000
Zn: 0.2500 0.5000 0.0000
Zn: 0.5000 0.0000 0.2500
Zn: 0.5000 0.0000 0.7500
Zn: 0.7500 0.5000 0.0000
Ga: 0.0000 0.5000 0.2500
Ga: 0.0000 0.5000 0.7500
Ga: 0.2500 0.0000 0.5000
Ga: 0.5000 0.2500 0.0000
Ga: 0.5000 0.7500 0.0000
Ga: 0.7500 0.0000 0.5000



ii | Material: PrZn3Ga3
Method: DFT, GGA-PBE
State: optimized geometry

Results
Density of states at the Fermi level   2.173 states/eV/f.u.
Calculated density   6.9 g/cm³
Total moment   0.00 μB/f.u.

a b c (Å): 7.0633 4.3957 9.1303
angles (deg): 90.00 111.32 90.00
Sites, in units of the cell vectors:
Pr: 0.1447 0.2500 0.2461
Pr: 0.8553 0.7500 0.7539
Zn: 0.2224 0.2500 0.8861
Zn: 0.4407 0.7500 0.8386
Zn: 0.4597 0.2500 0.6828
Zn: 0.5403 0.7500 0.3172
Zn: 0.5593 0.2500 0.1614
Zn: 0.7776 0.7500 0.1139
Ga: 0.0478 0.2500 0.5824
Ga: 0.2618 0.7500 0.0458
Ga: 0.3611 0.7500 0.5189
Ga: 0.6389 0.2500 0.4811
Ga: 0.7382 0.2500 0.9542
Ga: 0.9522 0.7500 0.4176



Result of the stability comparison: ii is the most stable of them.



i | Material: Pr5ZnGa2
Method: DFT, GGA-PBE
State: optimized geometry

Results
Density of states at the Fermi level   8.450 states/eV/f.u.
Calculated density   6.8 g/cm³
Total moment   0.00 μB/f.u.

a b c (Å): 6.6674 6.6674 6.6674
angles (deg): 115.85 115.85 97.35
Sites, in units of the cell vectors:
Pr: 0.0000 0.0000 0.0000
Pr: 0.0000 0.0000 0.5000
Pr: 0.0000 0.5000 0.0000
Pr: 0.5000 0.0000 0.0000
Pr: 0.5000 0.5000 0.5000
Zn: 0.5000 0.5000 0.0000
Ga: 0.0000 0.5000 0.5000
Ga: 0.5000 0.0000 0.5000



ii | Material: Pr5ZnGa2
Method: DFT, GGA-PBE
State: optimized geometry

Results
Density of states at the Fermi level   7.719 states/eV/f.u.
Calculated density   6.5 g/cm³
Total moment   0.00 μB/f.u.

a b c (Å): 9.4282 9.4282 9.4282
angles (deg): 131.10 131.10 71.65
Sites, in units of the cell vectors:
Pr: 0.0000 0.0000 0.0000
Pr: 0.0257 0.5257 0.8474
Pr: 0.1783 0.0257 0.5000
Pr: 0.3217 0.8217 0.8474
Pr: 0.4743 0.3217 0.5000
Pr: 0.5000 0.5000 0.0000
Pr: 0.5257 0.6783 0.5000
Pr: 0.6783 0.1783 0.1526
Pr: 0.8217 0.9743 0.5000
Pr: 0.9743 0.4743 0.1526
Zn: 0.2500 0.2500 0.0000
Zn: 0.7500 0.7500 0.0000
Ga: 0.1167 0.3833 0.5000
Ga: 0.3833 0.8833 0.2665
Ga: 0.6167 0.1167 0.7335
Ga: 0.8833 0.6167 0.5000



Result of the stability comparison: ii is the most stable of them.



i | Material: Ga3Pt2
Method: DFT, GGA-PBE
State: optimized geometry

Results
Density of states at the Fermi level   1.662 states/eV/f.u.
Calculated density   11.4 g/cm³
Total moment   0.00 μB/f.u.

a b c (Å): 9.6611 9.4730 6.4493
angles (deg): 71.88 68.74 39.38
Sites, in units of the cell vectors:
Ga: 0.0213 0.3884 0.2359
Ga: 0.1456 0.7641 0.6116
Ga: 0.2223 0.5277 0.2223
Ga: 0.2359 0.8544 0.0213
Ga: 0.3884 0.0213 0.8544
Ga: 0.4723 0.7777 0.4723
Ga: 0.5277 0.2223 0.5277
Ga: 0.6116 0.9787 0.1456
Ga: 0.7641 0.1456 0.9787
Ga: 0.7777 0.4723 0.7777
Ga: 0.8544 0.2359 0.3884
Ga: 0.9787 0.6116 0.7641
Pt: 0.0764 0.0764 0.6736
Pt: 0.2486 0.2486 0.5014
Pt: 0.3264 0.3264 0.9236
Pt: 0.4986 0.4986 0.7514
Pt: 0.5014 0.5014 0.2486
Pt: 0.6736 0.6736 0.0764
Pt: 0.7514 0.7514 0.4986
Pt: 0.9236 0.9236 0.3264



ii | Material: Ga3Pt2
Method: DFT, GGA-PBE
State: optimized geometry

Results
Density of states at the Fermi level   1.671 states/eV/f.u.
Calculated density   10.4 g/cm³
Total moment   0.00 μB/f.u.

a b c (Å): 7.0173 7.0173 7.0173
angles (deg): 50.72 50.72 50.72
Sites, in units of the cell vectors:
Ga: 0.1019 0.7500 0.3981
Ga: 0.2500 0.6019 0.8981
Ga: 0.3981 0.1019 0.7500
Ga: 0.6019 0.8981 0.2500
Ga: 0.7500 0.3981 0.1019
Ga: 0.8981 0.2500 0.6019
Pt: 0.1682 0.1682 0.1682
Pt: 0.3318 0.3318 0.3318
Pt: 0.6682 0.6682 0.6682
Pt: 0.8318 0.8318 0.8318



Result of the stability comparison: ii is the most stable of them.



i | Material: Ga3Pt
Method: DFT, GGA-PBE
State: optimized geometry

Results
Density of states at the Fermi level   0.906 states/eV/f.u.
Calculated density   9.8 g/cm³
Total moment   0.00 μB/f.u.

a b c (Å): 2.9160 5.3558 4.4008
angles (deg): 90.00 90.00 90.00
Sites, in units of the cell vectors:
Ga: 0.0000 0.0000 0.0000
Ga: 0.0000 0.5000 0.2560
Ga: 0.5000 0.0000 0.5112
Pt: 0.5000 0.5000 0.7475



ii | Material: Ga3Pt
Method: DFT, GGA-PBE
State: optimized geometry

Results
Density of states at the Fermi level   1.006 states/eV/f.u.
Calculated density   9.8 g/cm³
Total moment   0.00 μB/f.u.

a b c (Å): 4.8402 4.8402 8.2062
angles (deg): 90.00 90.00 134.30
Sites, in units of the cell vectors:
Ga: 0.0741 0.9259 0.7500
Ga: 0.3637 0.6363 0.5396
Ga: 0.3637 0.6363 0.9604
Ga: 0.6363 0.3637 0.0396
Ga: 0.6363 0.3637 0.4604
Ga: 0.9259 0.0741 0.2500
Pt: 0.2142 0.7858 0.2500
Pt: 0.7858 0.2142 0.7500



iii | Material: Ga3Pt
Method: DFT, GGA-PBE
State: optimized geometry

Results
Density of states at the Fermi level   0.641 states/eV/f.u.
Calculated density   9.8 g/cm³
Total moment   0.00 μB/f.u.

a b c (Å): 10.6300 10.6300 4.8667
angles (deg): 90.00 90.00 90.00
Sites, in units of the cell vectors:
Ga: 0.0155 0.5622 0.2354
Ga: 0.0622 0.9845 0.7354
Ga: 0.1187 0.2298 0.4805
Ga: 0.1473 0.6754 0.7517
Ga: 0.1754 0.8527 0.2517
Ga: 0.2298 0.3813 0.0195
Ga: 0.2702 0.1187 0.0195
Ga: 0.3246 0.6473 0.2517
Ga: 0.3527 0.8246 0.7517
Ga: 0.3813 0.2702 0.4805
Ga: 0.4378 0.5155 0.7354
Ga: 0.4845 0.9378 0.2354
Ga: 0.5155 0.0622 0.7646
Ga: 0.5622 0.4845 0.2646
Ga: 0.6187 0.7298 0.5195
Ga: 0.6473 0.1754 0.2483
Ga: 0.6754 0.3527 0.7483
Ga: 0.7298 0.8813 0.9805
Ga: 0.7702 0.6187 0.9805
Ga: 0.8246 0.1473 0.7483
Ga: 0.8527 0.3246 0.2483
Ga: 0.8813 0.7702 0.5195
Ga: 0.9378 0.0155 0.2646
Ga: 0.9845 0.4378 0.7646
Pt: 0.0298 0.2102 0.9839
Pt: 0.2102 0.4702 0.5161
Pt: 0.2898 0.0298 0.5161
Pt: 0.4702 0.2898 0.9839
Pt: 0.5298 0.7102 0.0161
Pt: 0.7102 0.9702 0.4839
Pt: 0.7898 0.5298 0.4839
Pt: 0.9702 0.7898 0.0161



iv | Material: Ga3Pt
Method: DFT, GGA-PBE
State: optimized geometry

Results
Density of states at the Fermi level   1.053 states/eV/f.u.
Calculated density   10.1 g/cm³
Total moment   0.00 μB/f.u.

a b c (Å): 4.0553 4.0553 4.0553
angles (deg): 90.00 90.00 90.00
Sites, in units of the cell vectors:
Ga: 0.0000 0.0000 0.5000
Ga: 0.0000 0.5000 0.0000
Ga: 0.5000 0.0000 0.0000
Pt: 0.5000 0.5000 0.5000



Result of the stability comparison: ii is the most stable of them.



i | Material: Pu2Ga2Pt3
Method: DFT, GGA-PBE
State: optimized geometry

Results
Density of states at the Fermi level   8.002 states/eV/f.u.
Calculated density   16.3 g/cm³
Total moment   0.00 μB/f.u.

a b c (Å): 6.2376 6.2376 7.5393
angles (deg): 123.97 123.97 31.10
Sites, in units of the cell vectors:
Pu: 0.1785 0.1785 0.3758
Pu: 0.8215 0.8215 0.6242
Ga: 0.1700 0.1700 0.7857
Ga: 0.8300 0.8300 0.2143
Pt: 0.4248 0.4248 0.0741
Pt: 0.5000 0.5000 0.5000
Pt: 0.5752 0.5752 0.9259



ii | Material: Pu2Ga2Pt3
Method: DFT, GGA-PBE
State: optimized geometry

Results
Density of states at the Fermi level   24.511 states/eV/f.u.
Calculated density   14.3 g/cm³
Total moment   10.68 μB/f.u.

a b c (Å): 9.7744 9.7744 7.2148
angles (deg): 90.00 90.00 155.80
Sites, in units of the cell vectors:
Pu: 0.0585 0.9415 0.7500
Pu: 0.1494 0.8506 0.2500
Pu: 0.8506 0.1494 0.7500
Pu: 0.9415 0.0585 0.2500
Ga: 0.3073 0.6927 0.0541
Ga: 0.3073 0.6927 0.4459
Ga: 0.6927 0.3073 0.5541
Ga: 0.6927 0.3073 0.9459
Pt: 0.2266 0.7734 0.7500
Pt: 0.4340 0.5660 0.5531
Pt: 0.4340 0.5660 0.9469
Pt: 0.5660 0.4340 0.0531
Pt: 0.5660 0.4340 0.4469
Pt: 0.7734 0.2266 0.2500



Result of the stability comparison: ii is the most stable of them.



i | Material: Pu2Ga3Pt2
Method: DFT, GGA-PBE
State: optimized geometry

Results
Density of states at the Fermi level   23.608 states/eV/f.u.
Calculated density   12.9 g/cm³
Total moment   10.78 μB/f.u.

a b c (Å): 9.6472 9.6472 7.2859
angles (deg): 90.00 90.00 155.61
Sites, in units of the cell vectors:
Pu: 0.0679 0.9321 0.7500
Pu: 0.1571 0.8429 0.2500
Pu: 0.8429 0.1571 0.7500
Pu: 0.9321 0.0679 0.2500
Ga: 0.2288 0.7712 0.7500
Ga: 0.4429 0.5571 0.5781
Ga: 0.4429 0.5571 0.9219
Ga: 0.5571 0.4429 0.0781
Ga: 0.5571 0.4429 0.4219
Ga: 0.7712 0.2288 0.2500
Pt: 0.3150 0.6850 0.0515
Pt: 0.3150 0.6850 0.4485
Pt: 0.6850 0.3150 0.5515
Pt: 0.6850 0.3150 0.9485



ii | Material: Pu2Ga3Pt2
Method: DFT, GGA-PBE
State: optimized geometry

Results
Density of states at the Fermi level   8.362 states/eV/f.u.
Calculated density   14.5 g/cm³
Total moment   0.83 μB/f.u.

a b c (Å): 6.1012 6.1012 7.3573
angles (deg): 122.70 122.70 33.38
Sites, in units of the cell vectors:
Pu: 0.1873 0.1873 0.3800
Pu: 0.8127 0.8127 0.6200
Ga: 0.4197 0.4197 0.0567
Ga: 0.5000 0.5000 0.5000
Ga: 0.5803 0.5803 0.9433
Pt: 0.1600 0.1600 0.7866
Pt: 0.8400 0.8400 0.2134



Result of the stability comparison: i is the most stable of them.



i | Material: Pu2Ga5Pt3
Method: DFT, GGA-PBE
State: optimized geometry

Results
Density of states at the Fermi level   26.043 states/eV/f.u.
Calculated density   12.4 g/cm³
Total moment   10.94 μB/f.u.

a b c (Å): 8.6845 8.6845 8.6845
angles (deg): 106.77 86.14 141.15
Sites, in units of the cell vectors:
Pu: 0.1433 0.2240 0.3673
Pu: 0.3567 0.7240 0.0807
Pu: 0.6433 0.2760 0.9193
Pu: 0.8567 0.7760 0.6327
Ga: 0.0412 0.7500 0.2912
Ga: 0.0925 0.6689 0.7614
Ga: 0.2500 0.2500 0.0000
Ga: 0.4075 0.1689 0.5765
Ga: 0.4588 0.7500 0.7088
Ga: 0.5412 0.2500 0.2912
Ga: 0.5925 0.8311 0.4235
Ga: 0.7500 0.7500 0.0000
Ga: 0.9075 0.3311 0.2386
Ga: 0.9588 0.2500 0.7088
Pt: 0.1459 0.8996 0.0456
Pt: 0.2500 0.7500 0.5000
Pt: 0.3541 0.3996 0.7537
Pt: 0.6459 0.6004 0.2463
Pt: 0.7500 0.2500 0.5000
Pt: 0.8541 0.1004 0.9544



ii | Material: Pu2Ga5Pt3
Method: DFT, GGA-PBE
State: optimized geometry

Results
Density of states at the Fermi level   23.646 states/eV/f.u.
Calculated density   12.7 g/cm³
Total moment   10.44 μB/f.u.

a b c (Å): 12.6997 12.6997 6.7706
angles (deg): 90.00 90.00 160.11
Sites, in units of the cell vectors:
Pu: 0.0168 0.9832 0.5000
Pu: 0.3265 0.6735 0.4641
Pu: 0.6735 0.3265 0.9641
Pu: 0.9832 0.0168 0.0000
Ga: 0.1043 0.8957 0.1546
Ga: 0.2072 0.7928 0.6566
Ga: 0.2084 0.7916 0.2515
Ga: 0.3764 0.6236 0.0000
Ga: 0.4481 0.5519 0.3222
Ga: 0.5519 0.4481 0.8222
Ga: 0.6236 0.3764 0.5000
Ga: 0.7916 0.2084 0.7515
Ga: 0.7928 0.2072 0.1566
Ga: 0.8957 0.1043 0.6546
Pt: 0.1073 0.8927 0.7567
Pt: 0.2746 0.7254 0.9528
Pt: 0.4477 0.5523 0.7156
Pt: 0.5523 0.4477 0.2156
Pt: 0.7254 0.2746 0.4528
Pt: 0.8927 0.1073 0.2567



Result of the stability comparison: ii is the most stable of them.



i | Material: Pu2GaPt3
Method: DFT, GGA-PBE
State: optimized geometry

Results
Density of states at the Fermi level   17.540 states/eV/f.u.
Calculated density   16.7 g/cm³
Total moment   10.85 μB/f.u.

a b c (Å): 5.5766 5.5766 8.4345
angles (deg): 90.00 90.00 120.00
Sites, in units of the cell vectors:
Pu: 0.3333 0.6667 0.0689
Pu: 0.3333 0.6667 0.4311
Pu: 0.6667 0.3333 0.5689
Pu: 0.6667 0.3333 0.9311
Ga: 0.0000 0.0000 0.0000
Ga: 0.0000 0.0000 0.5000
Pt: 0.1691 0.3382 0.7500
Pt: 0.1691 0.8309 0.7500
Pt: 0.3382 0.1691 0.2500
Pt: 0.6618 0.8309 0.7500
Pt: 0.8309 0.1691 0.2500
Pt: 0.8309 0.6618 0.2500



ii | Material: Pu2GaPt3
Method: DFT, GGA-PBE
State: optimized geometry

Results
Density of states at the Fermi level   18.165 states/eV/f.u.
Calculated density   16.7 g/cm³
Total moment   10.96 μB/f.u.

a b c (Å): 5.3065 5.3065 5.3065
angles (deg): 63.56 63.56 63.56
Sites, in units of the cell vectors:
Pu: 0.1196 0.1196 0.1196
Pu: 0.8804 0.8804 0.8804
Ga: 0.5000 0.5000 0.5000
Pt: 0.0000 0.5000 0.5000
Pt: 0.5000 0.0000 0.5000
Pt: 0.5000 0.5000 0.0000



Result of the stability comparison: i is the most stable of them.